This record from Alexandria via LeMat-Bulk describes crystalline PuTiTl2 at its relaxed geometry. The functional is GGA-PBE.

## Properties
magnetic moment: 7.242 μB per formula unit
formation energy: 0.159 eV per atom

Cell lengths 4.570, 4.570, 4.637 Å; angles 90.00, 90.00, 90.00 degrees
Positions (direct):
Pu: 0.000 0.000 0.000
Ti: 0.500 0.500 0.000
Tl: 0.000 0.500 0.500
Tl: 0.500 0.000 0.500